Material: TcMoRu2
Method: DFT, PBE
State: optimized geometry

- Space-group type: Pmm2 (25)
- Energy of formation from the pure elements: 0.088 eV/atom
- Crystal system: orthorhombic
- Calculated total energy: -0.3620 hartree per atom
- Offset from the most stable computed form: 0.063 eV/atom

abc: 2.7515 3.8424 5.5368
angles: 90.00 90.00 90.00
Closest atoms and distances in Å follow each position.
Element x y z (fractional)
Tc: 0.0000 0.0000 0.0000  6 Ru 2.67-2.86, 2 Tc 2.75, 4 Mo 2.80
Mo: 0.5000 0.5000 0.7276  6 Ru 2.72-2.78, 2 Mo 2.75, 4 Tc 2.80
Ru: 0.0000 0.0000 0.4838  2 Tc 2.68-2.86, 4 Mo 2.72, 6 Ru 2.75-2.76
Ru: 0.5000 0.5000 0.2250  4 Tc 2.67, 6 Ru 2.75-2.76, 2 Mo 2.75-2.78